[1]
## TaInMo2W (GGA-PBEsol)

Data for a geometry-optimized TaInMo2W structure.

For the density of states at the Fermi level, the calculation gives 8.1 states/eV/cell. For the formation energy, the calculation gives 13.91 eV/f.u.

Cell: 4.7037 4.7037 4.8349 Å, 90.00 90.00 90.00°
Closest atoms and distances in Å follow each position.
Space group P4/mmm (No. 123)
Asymmetric unit:
Ta 0.0000 0.0000 0.0000 x1  2 In 2.42
In 0.0000 0.0000 0.5000 x1  4 Mo 2.35, 2 Ta 2.42
Mo 0.0000 0.5000 0.5000 x2  2 In 2.35
W 0.5000 0.5000 0.0000 x1  4 Ta 3.33, 8 Mo 3.37

---

[2]
## InTcMo (GGA-PBEsol)

Data for a geometry-optimized InTcMo structure.

Its energy above the most stable polymorph in this dataset is 519 meV/atom. For the density of states at the Fermi level, the calculation gives 11.5 states/eV/cell. For the formation energy, the calculation gives 2.46 eV/f.u.

Cell: 6.1237 6.1237 6.1237 Å, 90.00 90.00 90.00°
Closest atoms and distances in Å follow each position.
Space group F-43m (No. 216)
Asymmetric unit:
In 0.0000 0.0000 0.0000 x4  4 Mo 2.65
Tc 0.0000 0.0000 0.5000 x4  4 Mo 2.65
Mo 0.2500 0.2500 0.7500 x4  4 In 2.65, 4 Tc 2.65

---

[3]
## InTcMo2 (GGA-PBEsol)

Data for a geometry-optimized InTcMo2 structure.

For the density of states at the Fermi level, the calculation gives 3.0 states/eV/cell. For the formation energy, the calculation gives 1.08 eV/f.u.

Cell: 2.8981 4.0097 5.6520 Å, 90.00 90.00 90.00°
Closest atoms and distances in Å follow each position.
Space group Pmm2 (No. 25)
Asymmetric unit:
In 0.0000 0.0000 0.0000 x1  6 Mo 2.80-2.97, 2 In 2.90, 4 Tc 2.97
Tc 0.5000 0.5000 0.7107 x1  1 Mo 2.38
Mo 0.0000 0.0000 0.5054 x1  4 Tc 2.73, 6 Mo 2.76-2.90, 2 In 2.80-2.86
Mo 0.5000 0.5000 0.2900 x1  1 Tc 2.38

---

[4]
## InTc2Mo (GGA-PBEsol)

Data for a geometry-optimized InTc2Mo structure.

For the density of states at the Fermi level, the calculation gives 4.4 states/eV/cell. For the formation energy, the calculation gives 1.54 eV/f.u.

Cell: 4.7984 2.8614 4.9314 Å, 90.00 112.84 90.00°
Closest atoms and distances in Å follow each position.
Space group P2/m (No. 10)
Asymmetric unit:
In 0.0000 0.0000 0.0000 x1  6 Tc 2.69-2.79, 4 Mo 2.85, 2 In 2.86
Tc 0.5000 0.0000 0.5000 x1  2 In 2.69, 4 Mo 2.79, 6 Tc 2.85-2.86
Tc 0.5000 0.5000 0.0000 x1  2 Mo 2.69, 4 In 2.79, 6 Tc 2.85-2.86
Mo 0.0000 0.5000 0.5000 x1  6 Tc 2.69-2.79, 4 In 2.85, 2 Mo 2.86

---

[5]
## InTc2Mo (GGA-PBEsol)

Data for a geometry-optimized InTc2Mo structure.

For the density of states at the Fermi level, the calculation gives 4.2 states/eV/cell. For the formation energy, the calculation gives 1.09 eV/f.u.

Cell: 4.4145 4.4145 3.1871 Å, 90.00 90.00 90.00°
Closest atoms and distances in Å follow each position.
Space group P4/mmm (No. 123)
Asymmetric unit:
In 0.0000 0.0000 0.0000 x1  8 Tc 2.72
Tc 0.0000 0.5000 0.5000 x2  4 In 2.72, 4 Mo 2.72
Mo 0.5000 0.5000 0.0000 x1  8 Tc 2.72

---

[6]
## InTcMo (GGA-PBEsol)

Data for a geometry-optimized InTcMo structure.

Its energy above the most stable polymorph in this dataset is 0 meV/atom. For the density of states at the Fermi level, the calculation gives 2.8 states/eV/cell. For the formation energy, the calculation gives 0.91 eV/f.u.

Cell: 4.4271 4.4271 2.8869 Å, 90.00 90.00 120.00°
Closest atoms and distances in Å follow each position.
Space group P3m1 (No. 156)
Asymmetric unit:
In 0.0000 0.0000 0.0000 x1  6 Tc 2.80-3.09, 6 Mo 2.83-3.06, 2 In 2.89
Tc 0.3333 0.6667 0.6031 x1  3 Mo 2.61, 3 In 2.80, 2 Tc 2.89
Mo 0.6667 0.3333 0.4200 x1  3 Tc 2.61, 3 In 2.83, 2 Mo 2.89

---

[7]
## InTc2Mo (GGA-PBEsol)

Data for a geometry-optimized InTc2Mo structure.

For the density of states at the Fermi level, the calculation gives 2.7 states/eV/cell. For the formation energy, the calculation gives 0.68 eV/f.u.

Cell: 2.8338 2.8338 7.8505 Å, 90.00 90.00 90.00°
Closest atoms and distances in Å follow each position.
Space group P4mm (No. 99)
Asymmetric unit:
In 0.0000 0.0000 0.0000 x1  4 In 2.83, 4 Tc 2.91, 4 Mo 2.98
Tc 0.0000 0.0000 0.5204 x1  8 Tc 2.60-2.83, 4 Mo 2.75
Tc 0.5000 0.5000 0.7307 x1  8 Tc 2.60-2.83
Mo 0.5000 0.5000 0.2806 x1  4 Tc 2.75, 4 Mo 2.83, 4 In 2.98

---

[8]
## InTc2Mo (GGA-PBEsol)

Data for a geometry-optimized InTc2Mo structure.

For the density of states at the Fermi level, the calculation gives 3.0 states/eV/cell. For the formation energy, the calculation gives 0.88 eV/f.u.

Cell: 2.8341 4.0330 5.5358 Å, 90.00 90.00 90.00°
Closest atoms and distances in Å follow each position.
Space group Pmm2 (No. 25)
Asymmetric unit:
In 0.0000 0.0000 0.0000 x1  6 Tc 2.74-2.91, 2 In 2.83, 4 Mo 2.93
Tc 0.0000 0.0000 0.5050 x1  6 Tc 2.74-2.83, 2 In 2.74-2.80, 4 Mo 2.74
Tc 0.5000 0.5000 0.7204 x1  1 Mo 2.40
Mo 0.5000 0.5000 0.2877 x1  1 Tc 2.40

---

Number 1: raw total energy -7.79 eV per atom. Number 2: raw total energy -7.85 eV per atom. Number 3: raw total energy -9.18 eV per atom. Number 4: raw total energy -8.94 eV per atom. Number 5: raw total energy -9.05 eV per atom. Number 6: raw total energy -8.37 eV per atom. Number 7: raw total energy -9.15 eV per atom. Number 8: raw total energy -9.10 eV per atom.